Record 1
PBE LiSm3Ho2S6, relaxed; total magnetic moment = 0.00 μB per formula unit; formation energy without anion corrections = -1.962 eV/atom; symmetry = C2/m, No. 12
1.0
-2.114 -3.431 -5.467
-1.787 -2.058 6.221
-3.972 5.555 -0.541
Ho Li S Sm
2 1 6 3
direct
0.666 0.334 0.000
0.334 0.666 0.000
0.000 0.000 0.000
0.922 0.593 0.764
0.752 0.752 0.233
0.407 0.078 0.236
0.078 0.407 0.236
0.593 0.922 0.764
0.248 0.248 0.767
0.500 0.500 0.500
0.835 0.165 0.500
0.165 0.835 0.500



Record 2
PBE AcPmCuTc, relaxed; formation energy from the elements = 0.129 eV/atom; total magnetic moment = 0.00 μB per formula unit; symmetry = F-43m, No. 216
1.0
5.138 0.000 0.000
2.569 4.450 0.000
2.569 1.483 4.195
Tc Pm Ac Cu
1 1 1 1
direct
0.000 0.000 0.000
0.750 0.750 0.750
0.250 0.250 0.250
0.500 0.500 0.500